The following is a DFT calculation (GGA-PBE) of a relaxed ScAs2Rh2 crystal.

Unit cell a=7.322 b=7.322 c=3.069 alpha=90.00 beta=90.00 gamma=90.00
Positions (direct):
Rh 0.358 0.142 0.500
Rh 0.642 0.858 0.500
Rh 0.142 0.642 0.500
Rh 0.858 0.358 0.500
Sc 0.500 0.500 0.000
Sc 0.000 0.000 0.000
As 0.654 0.154 0.000
As 0.846 0.654 0.000
As 0.154 0.346 0.000
As 0.346 0.846 0.000

Output
- E (eV/atom) = -6.557
- crystal system = tetragonal
- formation enthalpy at 0 K (eV per atom) = -0.4904